Entry from Alexandria via LeMat-Bulk: an optimized crystal structure of PtSN2 (GGA-PBE).

uncorrected formation energy = 1.4500 eV per atom

a = 4.3712 Å, b = 4.3712 Å, c = 10.6040 Å
α = 90.00°, β = 90.00°, γ = 90.00°
Space group I-42d (No. 122)
Inequivalent atoms, fractional coordinates:
Pt 0.0000 0.0000 0.0000
S 0.0000 0.0000 0.5000
N 0.2246 0.2500 0.6250